The following is a DFT calculation (PBE) of a relaxed KHS2 crystal.

Properties
* energy: -2.933 eV per atom

```
KHS2
1.0
-3.676 -3.268 3.339
0.116 -2.972 5.147
-2.573 0.263 5.353
H K S
1 1 2
Direct
0.500 0.500 0.500
0.000 0.000 0.000
0.820 0.820 0.820
0.180 0.180 0.180
```

The following is a DFT calculation (PBE) of a relaxed KH2S crystal.

Properties
* energy: -3.064 eV per atom

```
KH2S
1.0
6.413 0.000 0.000
0.000 5.649 0.846
0.000 -2.089 5.316
K H S
2 4 2
Direct
0.250 0.744 0.093
0.750 0.093 0.744
0.250 0.214 0.583
0.750 0.583 0.214
0.250 0.216 0.982
0.750 0.982 0.216
0.250 0.002 0.651
0.750 0.651 0.002
```

The following is a DFT calculation (PBE) of a relaxed KHS crystal.

Properties
* energy: -3.650 eV per atom

```
KHS
1.0
4.375 0.031 0.024
1.495 4.111 0.024
1.495 1.055 3.974
H K S
1 1 1
Direct
0.360 0.360 0.360
0.992 0.992 0.992
0.497 0.497 0.497
```

The following is a DFT calculation (PBE) of a relaxed K3HS3 crystal.

Properties
* energy: -3.112 eV per atom

```
K3HS3
1.0
6.324 0.000 0.000
0.000 8.796 0.000
0.000 -4.398 7.618
K H S
6 2 6
Direct
0.750 0.721 0.619
0.750 0.381 0.102
0.750 0.898 0.279
0.250 0.279 0.381
0.250 0.619 0.898
0.250 0.102 0.721
0.250 0.667 0.333
0.750 0.333 0.667
0.250 0.697 0.554
0.250 0.446 0.143
0.250 0.857 0.303
0.750 0.303 0.446
0.750 0.554 0.857
0.750 0.143 0.697
```

The following is a DFT calculation (PBE) of a relaxed KHS2 crystal.

Properties
* energy: -2.305 eV per atom

```
KHS2
1.0
0.000 3.431 3.431
3.431 0.000 3.431
3.431 3.431 0.000
H K S
1 1 2
Direct
0.000 0.000 0.000
0.500 0.500 0.500
0.250 0.250 0.250
0.750 0.750 0.750
```

The following is a DFT calculation (PBE) of a relaxed K2H2S3 crystal.

Properties
* energy: -3.561 eV per atom

```
K2H2S3
1.0
4.982 0.000 1.259
0.000 4.627 0.000
-0.362 0.000 7.108
K H S
2 2 3
Direct
0.286 0.500 0.745
0.714 0.500 0.255
0.108 0.000 0.210
0.892 0.000 0.790
0.193 0.000 0.416
0.000 0.000 0.000
0.807 0.000 0.584
```

The following is a DFT calculation (PBE) of a relaxed K2SiH5S crystal.

Properties
* energy: -3.323 eV per atom

```
K2SiH5S
1.0
0.000 -3.590 4.299
-3.673 -1.110 -4.080
4.639 0.018 -3.138
K Si H S
2 1 5 1
Direct
0.500 0.279 0.779
0.500 0.779 0.279
0.000 0.013 0.013
0.377 0.196 0.196
0.623 0.819 0.819
0.000 0.819 0.196
0.000 0.196 0.819
0.000 0.227 0.227
0.000 0.669 0.669
```

The following is a DFT calculation (PBE) of a relaxed K2TaHS4 crystal.

Properties
* energy: -5.196 eV per atom

```
K2TaHS4
1.0
-5.216 6.180 2.378
-4.321 -2.368 7.191
9.297 0.557 -0.078
K Ta H S
4 2 2 8
Direct
0.498 0.987 0.994
0.379 0.988 0.415
0.980 0.128 0.734
0.575 0.490 0.024
0.475 0.524 0.496
0.857 0.797 0.805
0.180 0.551 0.096
0.185 0.546 0.612
0.185 0.790 0.947
0.613 0.228 0.423
0.263 0.777 0.525
0.740 0.088 0.889
0.750 0.635 0.864
0.709 0.651 0.476
0.310 0.409 0.566
0.301 0.411 0.136
```

The following is a DFT calculation (PBE) of a relaxed KTiHS2 crystal.

Properties
* energy: -5.140 eV per atom

```
KTiHS2
1.0
3.555 0.000 0.000
0.000 7.102 0.199
0.000 -2.896 7.967
K Ti H S
2 2 2 4
Direct
0.250 0.671 0.297
0.750 0.329 0.703
0.250 0.852 0.829
0.750 0.148 0.171
0.250 0.592 0.781
0.750 0.408 0.219
0.750 0.831 0.636
0.750 0.797 0.018
0.250 0.169 0.364
0.250 0.203 0.982
```

The following is a DFT calculation (PBE) of a relaxed K2UH2S4 crystal.

Properties
* energy: -4.900 eV per atom

```
K2UH2S4
1.0
3.612 0.000 0.000
0.000 7.276 -0.361
-1.806 -3.280 7.788
K U H S
2 1 2 4
Direct
0.144 0.646 0.288
0.856 0.354 0.712
0.000 0.000 0.000
0.671 0.168 0.342
0.329 0.832 0.658
0.177 0.175 0.355
0.823 0.825 0.645
0.499 0.737 0.998
0.501 0.263 0.002
```

The following is a DFT calculation (PBE) of a relaxed KUHS3 crystal.

Properties
* energy: -5.635 eV per atom

```
KUHS3
1.0
3.693 0.000 0.000
0.000 8.874 0.103
0.000 -2.258 8.918
K U H S
2 2 2 6
Direct
0.250 0.176 0.244
0.750 0.824 0.756
0.250 0.668 0.161
0.750 0.332 0.839
0.250 0.272 0.575
0.750 0.728 0.425
0.750 0.868 0.128
0.250 0.132 0.872
0.250 0.736 0.451
0.750 0.264 0.549
0.750 0.442 0.142
0.250 0.558 0.858
```

The following is a DFT calculation (PBE) of a relaxed K2ZrH2S4 crystal.

Properties
* energy: -4.655 eV per atom

```
K2ZrH2S4
1.0
-1.868 -2.894 0.088
1.868 -1.412 -6.807
6.195 -1.783 5.468
K Zr H S
2 1 2 4
Direct
0.139 0.613 0.278
0.861 0.387 0.722
0.000 0.000 0.000
0.683 0.135 0.366
0.317 0.865 0.634
0.176 0.176 0.352
0.824 0.824 0.648
0.505 0.750 0.010
0.495 0.250 0.990
```

The following is a DFT calculation (PBE) of a relaxed KZrHS3 crystal.

Properties
* energy: -5.272 eV per atom

```
KZrHS3
1.0
-1.409 -2.567 1.958
-3.435 -3.535 -7.108
8.384 -3.807 1.043
K Zr H S
2 2 2 6
Direct
0.250 0.195 0.253
0.750 0.805 0.747
0.250 0.676 0.144
0.750 0.324 0.856
0.250 0.187 0.556
0.750 0.813 0.444
0.750 0.871 0.118
0.250 0.129 0.882
0.250 0.767 0.436
0.750 0.233 0.564
0.750 0.459 0.152
0.250 0.541 0.848
```